[1]
The following is a DFT calculation (PBE) of crystalline As2RuSe at its relaxed geometry.

```
As2RuSe
1.0
4.5450 0.0042 0.0073
-1.5229 4.2798 0.0066
1.4991 2.1386 3.7171
As Se Ru
2 1 1
Cartesian
3.0221 1.0714 1.8622 As
0.0000 0.0000 0.0000 As
1.5110 2.1420 0.0070 Se
-0.0119 3.2092 1.8619 Ru
```

Results
The calculation puts the density of states at the Fermi level at 0.677 states/eV/atom. The value obtained for the formation energy without anion corrections is 19.0 kJ per mole of atoms.

***

[2]
The following is a DFT calculation (PBE) of crystalline BaYGa at its relaxed geometry.

```
BaYGa
1.0
3.9412 -0.0003 0.0000
0.0014 13.1983 0.0064
0.0000 -0.0041 3.9424
Ba Y Ga
2 2 2
Cartesian
0.5562 7.3021 1.4880 Ba
2.5280 11.1921 3.4555 Ba
0.5574 3.7453 1.4840 Y
2.5278 1.5503 3.4525 Y
2.5283 4.9950 3.4566 Ga
0.5572 0.2987 1.4798 Ga
```

Results
The calculation puts the density of states at the Fermi level at 0.899 states/eV/atom. For the formation enthalpy at 0 K, the calculation gives -94 kJ/mol of formula units. For the relative energy among the computed polymorphs, the calculation gives 14 meV per atom.

***

[3]
The following is a DFT calculation (PBE) of crystalline Cu2OsPb at its relaxed geometry.

```
Cu2OsPb
1.0
4.4844 0.0000 0.0000
2.2422 3.8836 0.0000
2.2422 1.2945 3.6615
Cu Pb Os
2 1 1
Cartesian
0.0000 0.0000 0.0000 Cu
2.2422 1.2945 0.9154 Cu
6.7266 3.8836 2.7461 Pb
4.4844 2.5891 1.8307 Os
```

Results
The calculation puts the density of states at the Fermi level at 0.600 states/eV/atom. For the formation enthalpy at 0 K, the calculation gives 259 kJ/mol of formula units.

***

[4]
The following is a DFT calculation (PBE) of crystalline CaNb3As at its relaxed geometry.

```
CaNb3As
1.0
-0.1940 -1.4153 4.6807
4.7979 0.8500 0.4559
-0.9448 4.6070 1.3539
Nb As Ca
3 1 1
Cartesian
2.3990 0.4250 0.2279 Nb
-0.0970 -0.7077 2.3404 Nb
-0.4724 2.3035 0.6769 Nb
0.0000 0.0000 0.0000 As
1.8296 2.0208 3.2452 Ca
```

Results
The calculation puts the density of states at the Fermi level at 1.680 states/eV/atom. For the formation enthalpy at 0 K, the calculation gives 254 kJ/mol of formula units. For the relative energy among the computed polymorphs, the calculation gives 0 meV per atom.